No. 1
# Be2AsSe GGA-PBE optimized geometry
# E = -3.89 eV per atom
# Energy above the lowest structure with this stoichiometry = 286 meV per atom
# N(E_F) = 1.6 states/eV/cell
# Uncorrected formation energy = 0.010 eV/atom
data_Be2AsSe
_chemical_formula_sum 'Be4 As2 Se2'
_cell_length_a 5.8153
_cell_length_b 3.3679
_cell_length_c 6.2566
_cell_angle_alpha 90.00
_cell_angle_beta 107.99
_cell_angle_gamma 90.00
_space_group_name_H-M_alt 'C 1 2/m 1'
_space_group_IT_number 12
loop_
_space_group_symop_operation_xyz
'x,y,z'
'-x,-y,-z'
'-x,y,-z'
'x,-y,z'
'x+1/2,y+1/2,z'
'-x+1/2,-y+1/2,-z'
'-x+1/2,y+1/2,-z'
'x+1/2,-y+1/2,z'
loop_
_atom_site_label
_atom_site_type_symbol
_atom_site_fract_x
_atom_site_fract_y
_atom_site_fract_z
Be1 Be 0.2464 0.0000 0.2393
As1 As 0.0000 0.0000 0.5000
Se1 Se 0.0000 0.5000 0.0000

No. 2
# Be4AsSe GGA-PBE optimized geometry
# E = -3.32 eV per atom
# N(E_F) = 9.1 states/eV/cell
# Uncorrected formation energy = 0.519 eV/atom
data_Be4AsSe
_chemical_formula_sum 'Be16 As4 Se4'
_cell_length_a 6.6952
_cell_length_b 6.6952
_cell_length_c 6.6952
_cell_angle_alpha 90.00
_cell_angle_beta 90.00
_cell_angle_gamma 90.00
_space_group_name_H-M_alt 'F -4 3 m'
_space_group_IT_number 216
_space_group_name_Hall 'F -4 2 3'
loop_
_atom_site_label
_atom_site_type_symbol
_atom_site_fract_x
_atom_site_fract_y
_atom_site_fract_z
Be1 Be 0.1244 0.1244 0.3756
As1 As 0.2500 0.2500 0.7500
Se1 Se 0.0000 0.0000 0.0000

No. 3
# BeAsSe GGA-PBE optimized geometry
# E = -3.86 eV per atom
# Energy above the lowest structure with this stoichiometry = 0 meV per atom
# N(E_F) = 1.5 states/eV/cell
# Uncorrected formation energy = 0.089 eV/atom
data_BeAsSe
_chemical_formula_sum 'Be1 As1 Se1'
_cell_length_a 3.5262
_cell_length_b 3.5262
_cell_length_c 4.7086
_cell_angle_alpha 90.00
_cell_angle_beta 90.00
_cell_angle_gamma 120.00
_space_group_name_H-M_alt 'P 3 m 1'
_space_group_IT_number 156
loop_
_space_group_symop_operation_xyz
'x,y,z'
'-y,x-y,z'
'-x+y,-x,z'
'-y,-x,z'
'-x+y,y,z'
'x,x-y,z'
loop_
_atom_site_label
_atom_site_type_symbol
_atom_site_fract_x
_atom_site_fract_y
_atom_site_fract_z
Be1 Be 0.0000 0.0000 0.0000
As1 As 0.3333 0.6667 0.6981
Se1 Se 0.6667 0.3333 0.2409

No. 4
# BeAsSe3 GGA-PBE optimized geometry
# E = -2.88 eV per atom
# Energy above the lowest structure with this stoichiometry = 512 meV per atom
# N(E_F) = 3.1 states/eV/cell
# Uncorrected formation energy = 0.886 eV/atom
data_BeAsSe3
_chemical_formula_sum 'Be1 As1 Se3'
_cell_length_a 4.9986
_cell_length_b 4.9986
_cell_length_c 4.9986
_cell_angle_alpha 90.00
_cell_angle_beta 90.00
_cell_angle_gamma 90.00
_space_group_name_H-M_alt 'P m -3 m'
_space_group_IT_number 221
_space_group_name_Hall '-P 4 2 3'
loop_
_atom_site_label
_atom_site_type_symbol
_atom_site_fract_x
_atom_site_fract_y
_atom_site_fract_z
Be1 Be 0.0000 0.0000 0.0000
As1 As 0.5000 0.5000 0.5000
Se1 Se 0.0000 0.5000 0.5000

No. 5
# Be2AsSe GGA-PBE optimized geometry
# E = -3.95 eV per atom
# Energy above the lowest structure with this stoichiometry = 221 meV per atom
# N(E_F) = 1.0 states/eV/cell
# Uncorrected formation energy = -0.056 eV/atom
data_Be2AsSe
_chemical_formula_sum 'Be2 As1 Se1'
_cell_length_a 3.2352
_cell_length_b 3.2352
_cell_length_c 7.1116
_cell_angle_alpha 90.00
_cell_angle_beta 90.00
_cell_angle_gamma 90.00
_space_group_name_H-M_alt 'P 4 m m'
_space_group_IT_number 99
loop_
_space_group_symop_operation_xyz
'x,y,z'
'-y,x,z'
'-x,-y,z'
'y,-x,z'
'-x,y,z'
'y,x,z'
'x,-y,z'
'-y,-x,z'
loop_
_atom_site_label
_atom_site_type_symbol
_atom_site_fract_x
_atom_site_fract_y
_atom_site_fract_z
Be1 Be 0.0000 0.0000 0.0000
Be2 Be 0.5000 0.5000 0.1915
As1 As 0.5000 0.5000 0.8642
Se1 Se 0.0000 0.0000 0.3080

No. 6
# Be2AsSe GGA-PBE optimized geometry
# E = -3.59 eV per atom
# Energy above the lowest structure with this stoichiometry = 580 meV per atom
# N(E_F) = 2.2 states/eV/cell
# Uncorrected formation energy = 0.303 eV/atom
data_Be2AsSe
_chemical_formula_sum 'Be4 As2 Se2'
_cell_length_a 5.6202
_cell_length_b 6.7238
_cell_length_c 3.8064
_cell_angle_alpha 90.00
_cell_angle_beta 120.05
_cell_angle_gamma 90.00
_space_group_name_H-M_alt 'C 1 2/m 1'
_space_group_IT_number 12
loop_
_space_group_symop_operation_xyz
'x,y,z'
'-x,-y,-z'
'-x,y,-z'
'x,-y,z'
'x+1/2,y+1/2,z'
'-x+1/2,-y+1/2,-z'
'-x+1/2,y+1/2,-z'
'x+1/2,-y+1/2,z'
loop_
_atom_site_label
_atom_site_type_symbol
_atom_site_fract_x
_atom_site_fract_y
_atom_site_fract_z
Be1 Be 0.2500 0.2500 0.0000
As1 As 0.0000 0.0000 0.5000
Se1 Se 0.0000 0.5000 0.5000

No. 7
# Be2AsSe GGA-PBE optimized geometry
# E = -3.06 eV per atom
# Energy above the lowest structure with this stoichiometry = 1114 meV per atom
# N(E_F) = 5.5 states/eV/cell
# Uncorrected formation energy = 0.838 eV/atom
data_Be2AsSe
_chemical_formula_sum 'Be8 As4 Se4'
_cell_length_a 6.2797
_cell_length_b 6.2797
_cell_length_c 6.2797
_cell_angle_alpha 90.00
_cell_angle_beta 90.00
_cell_angle_gamma 90.00
_space_group_name_H-M_alt 'F -4 3 m'
_space_group_IT_number 216
_space_group_name_Hall 'F -4 2 3'
loop_
_atom_site_label
_atom_site_type_symbol
_atom_site_fract_x
_atom_site_fract_y
_atom_site_fract_z
Be1 Be 0.0000 0.0000 0.0000
Be2 Be 0.2500 0.2500 0.2500
As1 As 0.0000 0.0000 0.5000
Se1 Se 0.2500 0.2500 0.7500

No. 8
# Be2AsSe GGA-PBE optimized geometry
# E = -3.57 eV per atom
# Energy above the lowest structure with this stoichiometry = 605 meV per atom
# N(E_F) = 2.3 states/eV/cell
# Uncorrected formation energy = 0.329 eV/atom
data_Be2AsSe
_chemical_formula_sum 'Be4 As2 Se2'
_cell_length_a 3.2604
_cell_length_b 6.4916
_cell_length_c 6.6794
_cell_angle_alpha 90.00
_cell_angle_beta 90.00
_cell_angle_gamma 90.00
_space_group_name_H-M_alt 'C m m m'
_space_group_IT_number 65
_space_group_name_Hall '-C 2 2'
loop_
_atom_site_label
_atom_site_type_symbol
_atom_site_fract_x
_atom_site_fract_y
_atom_site_fract_z
Be1 Be 0.0000 0.0000 0.2377
As1 As 0.0000 0.5000 0.5000
Se1 Se 0.0000 0.5000 0.0000

No. 9
# Be2AsSe GGA-PBE optimized geometry
# E = -3.56 eV per atom
# Energy above the lowest structure with this stoichiometry = 618 meV per atom
# N(E_F) = 2.2 states/eV/cell
# Uncorrected formation energy = 0.341 eV/atom
data_Be2AsSe
_chemical_formula_sum 'Be4 As2 Se2'
_cell_length_a 3.0825
_cell_length_b 6.8368
_cell_length_c 9.3255
_cell_angle_alpha 90.00
_cell_angle_beta 90.00
_cell_angle_gamma 90.00
_space_group_name_H-M_alt 'I m m m'
_space_group_IT_number 71
_space_group_name_Hall '-I 2 2'
loop_
_atom_site_label
_atom_site_type_symbol
_atom_site_fract_x
_atom_site_fract_y
_atom_site_fract_z
Be1 Be 0.0000 0.2353 0.0000
As1 As 0.0000 0.0000 0.5000
Se1 Se 0.0000 0.5000 0.5000

No. 10
# BeAsSe GGA-PBE optimized geometry
# E = -3.72 eV per atom
# Energy above the lowest structure with this stoichiometry = 146 meV per atom
# N(E_F) = 1.3 states/eV/cell
# Uncorrected formation energy = 0.236 eV/atom
data_BeAsSe
_chemical_formula_sum 'Be2 As2 Se2'
_cell_length_a 3.2231
_cell_length_b 3.2231
_cell_length_c 10.8736
_cell_angle_alpha 90.00
_cell_angle_beta 90.00
_cell_angle_gamma 90.00
_space_group_name_H-M_alt 'I 4 m m'
_space_group_IT_number 107
_space_group_name_Hall 'I 4 -2'
loop_
_atom_site_label
_atom_site_type_symbol
_atom_site_fract_x
_atom_site_fract_y
_atom_site_fract_z
Be1 Be 0.0000 0.0000 0.0000
As1 As 0.0000 0.0000 0.3702
Se1 Se 0.0000 0.0000 0.5947

No. 11
# Be2AsSe GGA-PBE optimized geometry
# E = -3.54 eV per atom
# Energy above the lowest structure with this stoichiometry = 638 meV per atom
# N(E_F) = 6.7 states/eV/cell
# Uncorrected formation energy = 0.362 eV/atom
data_Be2AsSe
_chemical_formula_sum 'Be6 As3 Se3'
_cell_length_a 3.1355
_cell_length_b 3.1355
_cell_length_c 26.4433
_cell_angle_alpha 90.00
_cell_angle_beta 90.00
_cell_angle_gamma 120.00
_space_group_name_H-M_alt 'R 3 m'
_space_group_IT_number 160
_space_group_name_Hall 'R 3 -2"'
loop_
_atom_site_label
_atom_site_type_symbol
_atom_site_fract_x
_atom_site_fract_y
_atom_site_fract_z
Be1 Be 0.0000 0.0000 0.0000
Be2 Be 0.0000 0.0000 0.2615
As1 As 0.0000 0.0000 0.7255
Se1 Se 0.0000 0.0000 0.5487

No. 12
# Be2AsSe GGA-PBE optimized geometry
# E = -3.57 eV per atom
# Energy above the lowest structure with this stoichiometry = 606 meV per atom
# N(E_F) = 1.6 states/eV/cell
# Uncorrected formation energy = 0.330 eV/atom
data_Be2AsSe
_chemical_formula_sum 'Be2 As1 Se1'
_cell_length_a 3.1801
_cell_length_b 3.3222
_cell_length_c 8.4168
_cell_angle_alpha 90.00
_cell_angle_beta 90.00
_cell_angle_gamma 90.00
_space_group_name_H-M_alt 'P m m m'
_space_group_IT_number 47
loop_
_space_group_symop_operation_xyz
'x,y,z'
'-x,-y,-z'
'-x,-y,z'
'x,y,-z'
'x,-y,-z'
'-x,y,z'
'-x,y,-z'
'x,-y,z'
loop_
_atom_site_label
_atom_site_type_symbol
_atom_site_fract_x
_atom_site_fract_y
_atom_site_fract_z
Be1 Be 0.0000 0.0000 0.0000
Be2 Be 0.0000 0.5000 0.5000
As1 As 0.5000 0.0000 0.5000
Se1 Se 0.5000 0.5000 0.0000